An optimized crystal structure of Cs3Ho2ErSe6, computed with PBE.

Unit cell a=7.3522 b=7.3522 c=8.7186 alpha=98.08 beta=98.08 gamma=120.00
Fractional coordinates of all 12 atoms:
Cs (0.1671, 0.8329, 0.5000)
Cs (0.5000, 0.5000, 0.5000)
Cs (0.8329, 0.1671, 0.5000)
Se (0.7292, 0.7292, 0.1847)
Se (0.6062, 0.9385, 0.8155)
Se (0.9385, 0.6062, 0.8155)
Se (0.0615, 0.3938, 0.1845)
Se (0.3938, 0.0615, 0.1845)
Se (0.2708, 0.2708, 0.8153)
Ho (0.6666, 0.3334, 0.0000)
Ho (0.3334, 0.6666, 0.0000)
Er (0.0000, 0.0000, 0.0000)

Values from the calculation:
ΔE_f (raw) = -1.721 eV/atom
space-group type = C2/m
electronic total energy = -4.820 eV per atom
ρ = 5.81 g/cm3

=====

An optimized crystal structure of Cs2RbNdCl6, computed with PBE.

Unit cell a=8.3170 b=8.3170 c=8.3170 alpha=60.00 beta=60.00 gamma=60.00
Fractional coordinates of all 10 atoms:
Cl (0.7675, 0.2325, 0.2325)
Cl (0.7675, 0.2325, 0.7675)
Cl (0.2325, 0.7675, 0.2325)
Cl (0.2325, 0.2325, 0.7675)
Cl (0.7675, 0.7675, 0.2325)
Cl (0.2325, 0.7675, 0.7675)
Cs (0.2500, 0.2500, 0.2500)
Cs (0.7500, 0.7500, 0.7500)
Nd (0.0000, 0.0000, 0.0000)
Rb (0.5000, 0.5000, 0.5000)

Values from the calculation:
ΔE_f (raw) = -2.121 eV/atom
polymorph energy (0 for the lowest one) = 32 meV/atom
space-group type = Fm-3m
electronic total energy = -3.974 eV per atom
ρ = 2.89 g/cm3

=====

An optimized crystal structure of Ac2AlGe2Au4, computed with PBE.

Unit cell a=6.7574 b=6.7574 c=6.7574 alpha=87.60 beta=121.40 gamma=121.40
Fractional coordinates of all 9 atoms:
Ge (0.0000, 0.3161, 0.3161)
Ge (0.0000, 0.6839, 0.6839)
Au (0.4560, 0.7280, 0.7280)
Au (0.5440, 0.2720, 0.2720)
Au (0.0000, 0.7280, 0.2720)
Au (0.0000, 0.2720, 0.7280)
Ac (0.5000, 0.7500, 0.2500)
Ac (0.5000, 0.2500, 0.7500)
Al (0.0000, 0.0000, 0.0000)

Values from the calculation:
space-group type = I4/mmm
electronic total energy = -4.430 eV per atom
ρ = 11.01 g/cm3

=====

An optimized crystal structure of Ce3Dy3ErTe8, computed with PBE.

Unit cell a=8.7745 b=8.7743 c=8.8597 alpha=119.68 beta=90.00 gamma=120.00
Site moments in Bohr magnetons follow the coordinates.
Fractional coordinates of all 15 atoms:
Te (0.2504, 0.5007, 0.7427)  -0.01
Te (0.7420, 0.9923, 0.7427)  -0.01
Te (0.2580, 0.0077, 0.2573)  -0.01
Te (0.7496, 0.4993, 0.2573)  -0.01
Te (0.2504, 0.9924, 0.7427)  -0.01
Te (0.2536, 0.5072, 0.2608)  -0.01
Te (0.7464, 0.4928, 0.7392)  -0.01
Te (0.7496, 0.0076, 0.2573)  -0.01
Dy (0.0000, 0.5000, 0.5000)  0.02
Dy (0.5000, 0.0000, 0.5000)  0.02
Dy (0.5000, 0.5000, 0.5000)  0.02
Er (0.0000, 0.0000, 0.5000)  0.08
Ce (0.0000, 0.5000, 0.0000)  1.03
Ce (0.5000, 0.5000, 0.0000)  1.03
Ce (0.0000, 0.0000, 0.0000)  1.03

Values from the calculation:
ΔE_f (raw) = -1.376 eV/atom
space-group type = R-3m
electronic total energy = -5.462 eV per atom
ρ = 7.18 g/cm3

=====

An optimized crystal structure of ErTc2W, computed with PBE.

Unit cell a=3.2029 b=3.2029 c=6.7674 alpha=90.00 beta=90.00 gamma=90.00
Fractional coordinates of all 4 atoms:
Er (0.5000, 0.5000, 0.5000)
W (0.5000, 0.5000, 0.0000)
Tc (0.0000, 0.0000, 0.7801)
Tc (0.0000, 0.0000, 0.2199)

Values from the calculation:
space-group type = P4/mmm
electronic total energy = -9.610 eV per atom
ρ = 13.09 g/cm3

=====

An optimized crystal structure of Ce6ZnIn2, computed with PBE.

Unit cell a=3.3664 b=9.0920 c=9.0920 alpha=120.00 beta=90.00 gamma=90.00
Site moments in Bohr magnetons follow the coordinates.
Fractional coordinates of all 9 atoms:
Zn (0.0000, 0.0000, 0.0000)  0.00
In (0.5000, 0.6667, 0.3333)  -0.01
In (0.5000, 0.3333, 0.6667)  -0.01
Ce (0.5000, 0.7196, 0.0000)  0.77
Ce (0.0000, 0.3649, 0.0000)  0.77
Ce (0.0000, 0.0000, 0.3649)  0.77
Ce (0.0000, 0.6351, 0.6351)  0.77
Ce (0.5000, 0.2804, 0.2804)  0.77
Ce (0.5000, 0.0000, 0.7196)  0.77

Values from the calculation:
polymorph energy (0 for the lowest one) = 34 meV/atom
space-group type = P-62m
electronic total energy = -4.857 eV per atom
ρ = 7.83 g/cm3

=====

An optimized crystal structure of Nb2BiRh, computed with PBE.

Unit cell a=7.5565 b=7.5565 c=6.0637 alpha=51.46 beta=51.46 gamma=90.00
Fractional coordinates of all 8 atoms:
Rh (0.5000, 0.5000, 0.0000)
Rh (0.2500, 0.7500, 0.5000)
Nb (0.3750, 0.4108, 0.7500)
Nb (0.8750, 0.8392, 0.7500)
Nb (0.5892, 0.1250, 0.2500)
Nb (0.1608, 0.6250, 0.2500)
Bi (0.0000, 0.0000, 0.0000)
Bi (0.7500, 0.2500, 0.5000)

Values from the calculation:
space-group type = I-42d
electronic total energy = -7.557 eV per atom
ρ = 10.10 g/cm3

=====

An optimized crystal structure of BaSr2Cd2, computed with PBE.

Unit cell a=9.2323 b=9.2323 c=4.7313 alpha=90.00 beta=90.00 gamma=90.00
Fractional coordinates of all 10 atoms:
Cd (0.6232, 0.1232, 0.0000)
Cd (0.1232, 0.3768, 0.0000)
Cd (0.3768, 0.8768, 0.0000)
Cd (0.8768, 0.6232, 0.0000)
Sr (0.3358, 0.1642, 0.5000)
Sr (0.1642, 0.6642, 0.5000)
Sr (0.8358, 0.3358, 0.5000)
Sr (0.6642, 0.8358, 0.5000)
Ba (0.5000, 0.5000, 0.0000)
Ba (0.0000, 0.0000, 0.0000)

Values from the calculation:
polymorph energy (0 for the lowest one) = 0 meV/atom
space-group type = P4/mbm
electronic total energy = -1.675 eV per atom
ρ = 4.43 g/cm3

=====

An optimized crystal structure of La3Pa5N12, computed with PBE.

Unit cell a=12.2858 b=12.2858 c=12.2858 alpha=109.47 beta=109.47 gamma=109.47
Fractional coordinates of all 80 atoms:
Pa (0.8750, 0.2500, 0.6250)
Pa (0.3750, 0.2500, 0.1250)
Pa (0.2500, 0.8750, 0.1250)
Pa (0.5000, 0.0000, 0.5000)
Pa (0.0000, 0.5000, 0.5000)
Pa (0.1250, 0.3750, 0.2500)
Pa (0.6250, 0.8750, 0.2500)
Pa (0.2500, 0.3750, 0.6250)
Pa (0.0000, 0.0000, 0.0000)
Pa (0.8750, 0.6250, 0.7500)
Pa (0.5000, 0.5000, 0.0000)
Pa (0.7500, 0.1250, 0.8750)
Pa (0.7500, 0.6250, 0.3750)
Pa (0.5000, 0.0000, 0.0000)
Pa (0.1250, 0.7500, 0.3750)
Pa (0.0000, 0.5000, 0.0000)
Pa (0.3750, 0.1250, 0.7500)
Pa (0.6250, 0.7500, 0.8750)
Pa (0.5000, 0.5000, 0.5000)
Pa (0.0000, 0.0000, 0.5000)
N (0.6977, 0.1324, 0.0249)
N (0.6977, 0.5653, 0.1728)
N (0.0653, 0.1728, 0.1977)
N (0.1075, 0.1728, 0.4751)
N (0.4751, 0.8023, 0.8676)
N (0.5249, 0.1977, 0.1324)
N (0.8676, 0.3023, 0.4751)
N (0.4347, 0.1324, 0.6075)
N (0.0249, 0.3925, 0.8272)
N (0.6728, 0.1977, 0.5653)
N (0.4347, 0.3023, 0.3272)
N (0.8023, 0.4751, 0.3676)
N (0.5653, 0.6977, 0.6728)
N (0.1977, 0.6728, 0.0653)
N (0.3272, 0.8023, 0.4347)
N (0.8925, 0.0653, 0.8676)
N (0.3925, 0.0249, 0.3272)
N (0.1728, 0.0653, 0.6977)
N (0.1728, 0.1075, 0.9751)
N (0.5653, 0.8676, 0.3925)
N (0.6324, 0.0249, 0.1977)
N (0.9347, 0.1075, 0.6324)
N (0.1075, 0.9347, 0.1324)
N (0.1324, 0.6977, 0.5249)
N (0.6324, 0.6075, 0.9347)
N (0.9347, 0.8272, 0.8023)
N (0.1977, 0.5249, 0.6324)
N (0.6728, 0.4751, 0.6075)
N (0.3676, 0.9751, 0.8023)
N (0.0249, 0.6324, 0.6977)
N (0.4751, 0.6728, 0.1075)
N (0.3023, 0.4347, 0.8272)
N (0.6075, 0.6324, 0.4347)
N (0.8272, 0.9347, 0.3023)
N (0.3925, 0.3676, 0.5653)
N (0.3023, 0.8676, 0.9751)
N (0.8676, 0.5653, 0.8925)
N (0.1324, 0.4347, 0.1075)
N (0.9751, 0.6075, 0.1728)
N (0.3272, 0.5249, 0.3925)
N (0.8023, 0.3272, 0.9347)
N (0.9751, 0.3676, 0.3023)
N (0.6075, 0.9751, 0.6728)
N (0.5249, 0.3272, 0.8925)
N (0.3676, 0.3925, 0.0653)
N (0.8272, 0.8925, 0.0249)
N (0.8925, 0.8272, 0.5249)
N (0.0653, 0.8925, 0.3676)
La (0.3750, 0.7500, 0.6250)
La (0.2500, 0.1250, 0.3750)
La (0.6250, 0.3750, 0.7500)
La (0.1250, 0.2500, 0.8750)
La (0.8750, 0.1250, 0.2500)
La (0.1250, 0.8750, 0.7500)
La (0.7500, 0.8750, 0.6250)
La (0.8750, 0.7500, 0.1250)
La (0.6250, 0.2500, 0.3750)
La (0.2500, 0.6250, 0.8750)
La (0.3750, 0.6250, 0.2500)
La (0.7500, 0.3750, 0.1250)

Values from the calculation:
ΔE_f (raw) = -1.314 eV/atom
space-group type = Ia-3d
electronic total energy = -9.422 eV per atom
ρ = 8.10 g/cm3

=====

An optimized crystal structure of Mg2CdSe, computed with PBE.

Unit cell a=3.6267 b=3.5498 c=7.4802 alpha=61.45 beta=90.00 gamma=90.00
Fractional coordinates of all 4 atoms:
Mg (0.0000, 0.5145, 0.4862)
Mg (0.0000, 0.9855, 0.0138)
Se (0.5000, 0.2500, 0.2500)
Cd (0.5000, 0.7500, 0.7500)

Values from the calculation:
ΔE_f (raw) = -0.379 eV/atom
polymorph energy (0 for the lowest one) = 112 meV/atom
space-group type = P2/m
electronic total energy = -2.276 eV per atom
ρ = 4.71 g/cm3

=====

An optimized crystal structure of Ta2GaRh, computed with PBE.

Unit cell a=3.8492 b=3.8492 c=9.9468 alpha=78.84 beta=78.84 gamma=90.00
Fractional coordinates of all 8 atoms:
Ta (0.1336, 0.6250, 0.2500)
Ta (0.8750, 0.8664, 0.7500)
Ta (0.3750, 0.3836, 0.7500)
Ta (0.6164, 0.1250, 0.2500)
Rh (0.7500, 0.2500, 0.5000)
Rh (0.0000, 0.0000, 0.0000)
Ga (0.2500, 0.7500, 0.5000)
Ga (0.5000, 0.5000, 0.0000)

Values from the calculation:
space-group type = I-42d
electronic total energy = -8.258 eV per atom
ρ = 12.52 g/cm3

=====

An optimized crystal structure of Na2PmNdS4, computed with PBE.

Unit cell a=4.1164 b=7.1297 c=7.1059 alpha=109.52 beta=90.00 gamma=90.00
Fractional coordinates of all 8 atoms:
S (0.0000, 0.7425, 0.2322)
S (0.5000, 0.2459, 0.2330)
S (0.5000, 0.7541, 0.7670)
S (0.0000, 0.2575, 0.7678)
Na (0.5000, 0.0000, 0.5000)
Na (0.0000, 0.5000, 0.5000)
Nd (0.0000, 0.0000, 0.0000)
Pm (0.5000, 0.5000, 0.0000)

Values from the calculation:
ΔE_f (raw) = -1.802 eV/atom
space-group type = P2/m
electronic total energy = -5.385 eV per atom
ρ = 3.92 g/cm3

=====

An optimized crystal structure of NiPbI6, computed with PBE.

Unit cell a=7.0455 b=7.0557 c=7.9773 alpha=63.80 beta=63.81 gamma=60.02
Fractional coordinates of all 8 atoms:
I (0.2083, 0.9672, 0.2234)
I (0.7917, 0.0328, 0.7766)
I (0.3986, 0.7918, 0.7765)
I (0.0329, 0.3983, 0.7765)
I (0.6014, 0.2082, 0.2235)
I (0.9671, 0.6017, 0.2235)
Ni (0.0000, 0.0000, 0.0000)
Pb (0.5000, 0.5000, 0.5000)

Values from the calculation:
ΔE_f (raw) = -0.137 eV/atom
space-group type = P-1
electronic total energy = -2.486 eV per atom
ρ = 5.77 g/cm3

=====

An optimized crystal structure of PRhSeN2, computed with PBE.

Unit cell a=3.3604 b=3.3604 c=8.0549 alpha=90.00 beta=90.00 gamma=90.00
Fractional coordinates of all 5 atoms:
P (0.0000, 0.0000, 0.0000)
N (0.0000, 0.5000, 0.0000)
N (0.5000, 0.0000, 0.0000)
Rh (0.5000, 0.5000, 0.5000)
Se (0.0000, 0.0000, 0.5000)

Values from the calculation:
ΔE_f (raw) = 0.867 eV/atom
polymorph energy (0 for the lowest one) = 0 meV/atom
space-group type = P4/mmm
electronic total energy = -5.713 eV per atom
ρ = 4.40 g/cm3

=====

An optimized crystal structure of KMnSe3, computed with PBE.

Unit cell a=5.6692 b=5.6692 c=5.6692 alpha=90.00 beta=90.00 gamma=90.00
Site moments in Bohr magnetons follow the coordinates.
Fractional coordinates of all 5 atoms:
Se (0.5000, 0.0000, 0.0000)  0.53
Se (0.0000, 0.5000, 0.0000)  0.69
Se (0.0000, 0.0000, 0.5000)  0.74
Mn (0.5000, 0.5000, 0.5000)  -4.65
K (0.0000, 0.0000, 0.0000)  0.05

Values from the calculation:
ΔE_f (raw) = 1.099 eV/atom
polymorph energy (0 for the lowest one) = 1265 meV/atom
space-group type = Pm-3m
electronic total energy = -3.045 eV per atom
ρ = 3.02 g/cm3

=====

An optimized crystal structure of Hf5Ti2Bi4, computed with PBE.

Unit cell a=3.3981 b=8.0852 c=10.4168 alpha=110.56 beta=99.39 gamma=90.00
Fractional coordinates of all 11 atoms:
Ti (0.5753, 0.5030, 0.1505)
Ti (0.4247, 0.4970, 0.8495)
Hf (0.1230, 0.2707, 0.2460)
Hf (0.8190, 0.0481, 0.6380)
Hf (0.8770, 0.7293, 0.7540)
Hf (0.5000, 0.0000, 0.0000)
Hf (0.1810, 0.9519, 0.3620)
Bi (0.9682, 0.2675, 0.9364)
Bi (0.2809, 0.3362, 0.5618)
Bi (0.0318, 0.7325, 0.0636)
Bi (0.7191, 0.6638, 0.4382)

Values from the calculation:
space-group type = C2/m
electronic total energy = -7.256 eV per atom
ρ = 11.48 g/cm3

=====

An optimized crystal structure of Zr3Sc2, computed with PBE.

Unit cell a=6.3258 b=5.4965 c=8.3438 alpha=70.77 beta=80.91 gamma=61.35
Site moments in Bohr magnetons follow the coordinates.
Fractional coordinates of all 10 atoms:
Zr (0.2675, 0.3793, 0.8165)  0.01
Zr (0.7325, 0.8042, 0.8165)  0.01
Zr (0.2503, 0.7871, 0.0000)  0.00
Zr (0.2675, 0.1958, 0.1835)  0.01
Zr (0.7497, 0.2129, 0.0000)  0.00
Zr (0.7325, 0.6207, 0.1835)  0.01
Sc (0.0000, 0.1862, 0.6276)  0.01
Sc (0.0000, 0.8138, 0.3724)  0.01
Sc (0.5000, 0.5000, 0.5000)  0.15
Sc (0.5000, 0.0000, 0.5000)  0.15

Values from the calculation:
polymorph energy (0 for the lowest one) = 228 meV/atom
space-group type = C2/m
electronic total energy = -7.395 eV per atom
ρ = 5.02 g/cm3

=====

An optimized crystal structure of Ca4Mg8Zn, computed with PBE.

Unit cell a=8.2657 b=8.2671 c=8.2657 alpha=105.60 beta=98.43 gamma=125.77
Fractional coordinates of all 13 atoms:
Ca (0.0000, 0.5000, 0.0000)
Ca (0.5000, 0.0000, 0.0000)
Ca (0.5000, 0.5000, 0.5000)
Ca (0.0000, 0.0000, 0.5000)
Mg (0.5002, 0.3326, 0.8325)
Mg (0.3649, 0.0000, 0.3649)
Mg (0.9993, 0.3396, 0.3403)
Mg (0.7490, 0.5000, 0.2490)
Mg (0.0007, 0.6604, 0.6597)
Mg (0.2510, 0.5000, 0.7510)
Mg (0.4998, 0.6674, 0.1675)
Mg (0.6351, 0.0000, 0.6351)
Zn (0.0000, 0.0000, 0.0000)

Values from the calculation:
polymorph energy (0 for the lowest one) = 206 meV/atom
space-group type = C2/m
electronic total energy = -1.485 eV per atom
ρ = 1.72 g/cm3

=====

An optimized crystal structure of CsCd4Pb12, computed with PBE.

Unit cell a=9.1054 b=9.1054 c=9.1054 alpha=109.47 beta=109.47 gamma=109.47
Fractional coordinates of all 17 atoms:
Pb (0.1980, 0.8430, 0.3551)
Pb (0.6449, 0.8020, 0.1570)
Pb (0.8430, 0.3551, 0.1980)
Pb (0.3551, 0.1980, 0.8430)
Pb (0.6449, 0.4879, 0.8430)
Pb (0.3551, 0.5121, 0.1570)
Pb (0.1570, 0.3551, 0.5121)
Pb (0.4879, 0.8430, 0.6449)
Pb (0.8430, 0.6449, 0.4879)
Pb (0.5121, 0.1570, 0.3551)
Pb (0.1570, 0.6449, 0.8020)
Pb (0.8020, 0.1570, 0.6449)
Cs (0.0000, 0.0000, 0.0000)
Cd (0.0000, 0.5000, 0.0000)
Cd (0.5000, 0.5000, 0.5000)
Cd (0.0000, 0.0000, 0.5000)
Cd (0.5000, 0.0000, 0.0000)

Values from the calculation:
space-group type = Im-3
electronic total energy = -2.756 eV per atom
ρ = 8.77 g/cm3